(1)
Entry from Alexandria via LeMat-Bulk: a geometry-optimized Zr3ScAl8 structure (PBE).

Values from the calculation:
E_tot	-5.68	eV per atom
formation energy	-6.27	eV/f.u.

Cell: 5.3108 5.3108 8.7561 Å, 90.00 90.00 120.00°
Space group P3m1 (No. 156)
One atom of each set of equivalent atoms:
1 Zr 0.0000 0.0000 0.0000 x1
2 Zr 0.0000 0.0000 0.3673 x1
3 Zr 0.3333 0.6667 0.8690 x1
4 Sc 0.3333 0.6667 0.5007 x1
5 Al 0.0084 0.5042 0.1835 x3
6 Al 0.3243 0.1621 0.6854 x3
7 Al 0.6667 0.3333 0.4348 x1
8 Al 0.6667 0.3333 0.9340 x1

---

(2)
Entry from Alexandria via LeMat-Bulk: a geometry-optimized ZrScAl structure (PBE).

Values from the calculation:
E_tot	-6.51	eV per atom
formation energy	-0.91	eV/f.u.

Cell: 3.1296 3.1296 12.8612 Å, 90.00 90.00 90.00°
Space group P4/nmm (No. 129, origin choice 2)
One atom of each set of equivalent atoms:
1 Zr 0.2500 0.2500 0.0917 x2
2 Sc 0.2500 0.2500 0.4029 x2
3 Al 0.2500 0.2500 0.7510 x2

---

(3)
Entry from Alexandria via LeMat-Bulk: a geometry-optimized ZrSc3Al3 structure (PBE).

Values from the calculation:
E_tot	-5.77	eV per atom
formation energy	-1.59	eV/f.u.

Cell: 8.4121 8.4121 8.4121 Å, 90.00 90.00 90.00°
Space group P2_13 (No. 198)
One atom of each set of equivalent atoms:
1 Zr 0.0393 0.4607 0.5393 x4
2 Sc 0.0883 0.5883 0.9117 x4
3 Sc 0.1270 0.8730 0.3730 x4
4 Sc 0.2028 0.2028 0.2028 x4
5 Al 0.0577 0.2642 0.8386 x12

---

(4)
Entry from Alexandria via LeMat-Bulk: a geometry-optimized Zr3ScAl structure (PBE).

Values from the calculation:
E_tot	-7.19	eV per atom
formation energy	-0.22	eV/f.u.

Cell: 4.9061 8.5121 10.6567 Å, 90.00 90.00 90.00°
Space group Cmcm (No. 63)
One atom of each set of equivalent atoms:
1 Zr 0.0000 0.0011 0.2500 x4
2 Zr 0.0000 0.3329 0.5903 x8
3 Sc 0.0000 0.3342 0.2500 x4
4 Al 0.0000 0.0000 0.0000 x4

---

(5)
Entry from Alexandria via LeMat-Bulk: a geometry-optimized ZrSc2Al2 structure (PBE).

Values from the calculation:
E_tot	-5.52	eV per atom
formation energy	1.11	eV/f.u.

Cell: 4.1197 4.1197 13.0125 Å, 90.00 90.00 90.00°
Space group I4/mmm (No. 139)
One atom of each set of equivalent atoms:
1 Zr 0.0000 0.0000 0.0000 x2
2 Sc 0.0000 0.0000 0.3966 x4
3 Al 0.0000 0.5000 0.2500 x4

---

(6)
Entry from Alexandria via LeMat-Bulk: a geometry-optimized ZrSc2Al6 structure (PBE).

Values from the calculation:
E_tot	-5.32	eV per atom
formation energy	-4.23	eV/f.u.

Cell: 7.7329 7.7329 3.1696 Å, 90.00 90.00 120.00°
Space group P6/mmm (No. 191)
One atom of each set of equivalent atoms:
1 Zr 0.0000 0.0000 0.0000 x1
2 Sc 0.3333 0.6667 0.0000 x2
3 Al 0.0000 0.3344 0.5000 x6